Record 1
Li2CeSn PBE optimized geometry; SG = No. 123; energy of formation from the pure elements = -197 meV per atom
1.0
4.524 0.000 0.000
0.000 4.524 0.000
0.000 0.000 4.863
Li Ce Sn
2 1 1
direct
0.000 0.500 0.000
0.500 0.000 0.000
0.000 0.000 0.500
0.500 0.500 0.500

=====

Record 2
CaCd2PN PBE optimized geometry; SG = No. 123; formation energy from raw total energies = 1.43 eV per atom
1.0
6.462 0.000 0.000
0.000 6.462 0.000
0.000 0.000 5.256
Ca Cd P N
1 2 1 1
direct
0.000 0.000 0.000
0.000 0.500 0.000
0.500 0.000 0.000
0.000 0.000 0.500
0.500 0.500 0.500

=====

Record 3
KHg4Au PBE optimized geometry; SG = No. 63; energy relative to the lowest polymorph listed for this composition = 0.0000 eV/atom; energy of formation from the pure elements = -174 meV per atom
1.0
2.453 -8.872 0.000
2.453 8.872 0.000
0.000 0.000 7.787
K Hg Au
2 8 2
direct
0.132 0.868 0.750
0.868 0.132 0.250
0.058 0.942 0.250
0.322 0.678 0.547
0.322 0.678 0.953
0.500 0.500 0.000
0.500 0.500 0.500
0.678 0.322 0.047
0.678 0.322 0.453
0.942 0.058 0.750
0.222 0.778 0.250
0.778 0.222 0.750

=====

Record 4
InCu2Os PBE optimized geometry; SG = No. 8; energy of formation from the pure elements = 347 meV per atom
1.0
10.118 0.000 0.000
0.000 2.785 0.000
-2.141 0.000 4.208
In Cu Os
2 4 2
direct
0.000 0.000 0.000
0.500 0.500 0.000
0.004 0.500 0.493
0.243 0.000 0.884
0.504 0.000 0.493
0.743 0.500 0.884
0.260 0.500 0.405
0.760 0.000 0.405

=====

Record 5
NaSnB PBE optimized geometry; SG = No. 6; energy of formation from the pure elements = 103 meV per atom
1.0
3.168 0.000 0.000
0.000 5.232 0.000
-1.468 0.000 8.114
Na Sn B
2 2 2
direct
0.000 0.000 0.000
0.283 0.500 0.624
0.588 0.500 0.195
0.679 0.000 0.384
0.370 0.000 0.696
0.861 0.000 0.681

=====

Record 6
HoHfPb2 PBE optimized geometry; SG = No. 166; energy relative to the lowest polymorph listed for this composition = 0.0268 eV/atom; energy of formation from the pure elements = -101 meV per atom
1.0
4.869 0.000 0.000
-2.435 4.217 0.000
0.000 0.000 15.583
Ho Hf Pb
3 3 6
direct
0.000 0.000 0.000
0.333 0.667 0.667
0.667 0.333 0.333
0.000 0.000 0.500
0.333 0.667 0.167
0.667 0.333 0.833
0.000 0.000 0.243
0.000 0.000 0.757
0.333 0.667 0.424
0.333 0.667 0.910
0.667 0.333 0.090
0.667 0.333 0.576

=====

Record 7
La12H5Pt3 PBE optimized geometry; SG = No. 230; DFT total energy = -5.22 eV per atom
1.0
-7.976 7.976 7.976
7.976 -7.976 7.976
7.976 7.976 -7.976
La H Pt
48 20 12
direct
0.028 0.218 0.118
0.028 0.310 0.910
0.090 0.618 0.400
0.090 0.972 0.690
0.100 0.718 0.690
0.100 0.882 0.410
0.118 0.028 0.218
0.118 0.590 0.900
0.190 0.218 0.600
0.190 0.472 0.590
0.218 0.118 0.028
0.218 0.600 0.190
0.282 0.310 0.900
0.282 0.472 0.382
0.310 0.900 0.282
0.310 0.910 0.028
0.382 0.282 0.472
0.382 0.600 0.910
0.400 0.090 0.618
0.400 0.810 0.782
0.410 0.100 0.882
0.410 0.810 0.528
0.472 0.382 0.282
0.472 0.590 0.190
0.528 0.410 0.810
0.528 0.618 0.718
0.590 0.190 0.472
0.590 0.900 0.118
0.600 0.190 0.218
0.600 0.910 0.382
0.618 0.400 0.090
0.618 0.718 0.528
0.690 0.090 0.972
0.690 0.100 0.718
0.718 0.528 0.618
0.718 0.690 0.100
0.782 0.400 0.810
0.782 0.882 0.972
0.810 0.528 0.410
0.810 0.782 0.400
0.882 0.410 0.100
0.882 0.972 0.782
0.900 0.118 0.590
0.900 0.282 0.310
0.910 0.028 0.310
0.910 0.382 0.600
0.972 0.690 0.090
0.972 0.782 0.882
0.000 0.000 0.000
0.000 0.000 0.500
0.000 0.500 0.000
0.000 0.500 0.500
0.125 0.750 0.875
0.125 0.875 0.250
0.250 0.125 0.875
0.250 0.625 0.375
0.375 0.250 0.625
0.375 0.625 0.750
0.500 0.000 0.000
0.500 0.000 0.500
0.500 0.500 0.000
0.500 0.500 0.500
0.625 0.375 0.250
0.625 0.750 0.375
0.750 0.375 0.625
0.750 0.875 0.125
0.875 0.125 0.750
0.875 0.250 0.125
0.125 0.250 0.375
0.125 0.375 0.750
0.250 0.375 0.125
0.250 0.875 0.625
0.375 0.125 0.250
0.375 0.750 0.125
0.625 0.250 0.875
0.625 0.875 0.750
0.750 0.125 0.375
0.750 0.625 0.875
0.875 0.625 0.250
0.875 0.750 0.625

=====

Record 8
YGa2TcPt PBE optimized geometry; SG = No. 123; energy of formation from the pure elements = 215 meV per atom
1.0
4.660 0.000 0.000
0.000 4.660 0.000
0.000 0.000 5.249
Y Ga Tc Pt
1 2 1 1
direct
0.000 0.000 0.000
0.000 0.500 0.500
0.500 0.000 0.500
0.500 0.500 0.000
0.500 0.500 0.500

=====

Record 9
Cs3Pm3SnS8 PBE optimized geometry; SG = No. 166; formation energy from raw total energies = -1.52 eV per atom
1.0
4.112 2.374 8.266
-4.112 2.374 8.266
0.000 -4.748 8.266
Cs Pm Sn S
3 3 1 8
direct
0.000 0.500 0.500
0.500 0.000 0.500
0.500 0.500 0.000
0.000 0.000 0.500
0.000 0.500 0.000
0.500 0.000 0.000
0.500 0.500 0.500
0.228 0.228 0.228
0.248 0.715 0.715
0.285 0.285 0.752
0.285 0.752 0.285
0.715 0.248 0.715
0.715 0.715 0.248
0.752 0.285 0.285
0.772 0.772 0.772

=====

Record 10
ScTe2RhBr PBE optimized geometry; SG = No. 123; formation energy from raw total energies = -0.11 eV per atom
1.0
5.286 0.000 0.000
0.000 5.286 0.000
0.000 0.000 4.880
Sc Te Rh Br
1 2 1 1
direct
0.000 0.000 0.000
0.000 0.500 0.500
0.500 0.000 0.500
0.500 0.500 0.500
0.500 0.500 0.000

=====

Record 11
Nd8DyY6 PBE optimized geometry; SG = No. 148; energy relative to the lowest polymorph listed for this composition = 0.0000 eV/atom; energy of formation from the pure elements = 113 meV per atom
1.0
4.594 2.653 7.006
-4.594 2.653 7.006
0.000 -5.305 7.006
Nd Dy Y
8 1 6
direct
0.077 0.077 0.077
0.216 0.613 0.252
0.252 0.216 0.613
0.387 0.748 0.784
0.613 0.252 0.216
0.748 0.784 0.387
0.784 0.387 0.748
0.923 0.923 0.923
0.500 0.500 0.500
0.039 0.596 0.748
0.252 0.961 0.404
0.404 0.252 0.961
0.596 0.748 0.039
0.748 0.039 0.596
0.961 0.404 0.252

=====

Record 12
Er3Pu3ScSe8 PBE optimized geometry; SG = No. 166; formation energy from raw total energies = -1.69 eV per atom
1.0
4.056 2.342 6.682
-4.056 2.342 6.682
0.000 -4.684 6.682
Er Pu Sc Se
3 3 1 8
direct
0.000 0.500 0.500
0.500 0.000 0.500
0.500 0.500 0.000
0.000 0.000 0.500
0.000 0.500 0.000
0.500 0.000 0.000
0.000 0.000 0.000
0.244 0.244 0.750
0.244 0.750 0.244
0.250 0.756 0.756
0.252 0.252 0.252
0.748 0.748 0.748
0.750 0.244 0.244
0.756 0.250 0.756
0.756 0.756 0.250

=====

Record 13
Ca2CdFe PBE optimized geometry; SG = No. 216; energy of formation from the pure elements = 322 meV per atom
1.0
7.266 0.000 0.000
0.000 7.266 0.000
0.000 0.000 7.266
Ca Cd Fe
8 4 4
direct
0.000 0.000 0.000
0.000 0.500 0.500
0.250 0.250 0.250
0.250 0.750 0.750
0.500 0.000 0.500
0.500 0.500 0.000
0.750 0.250 0.750
0.750 0.750 0.250
0.250 0.250 0.750
0.250 0.750 0.250
0.750 0.250 0.250
0.750 0.750 0.750
0.000 0.000 0.500
0.000 0.500 0.000
0.500 0.000 0.000
0.500 0.500 0.500

=====

Record 14
YHfTc PBE optimized geometry; SG = No. 107; energy relative to the lowest polymorph listed for this composition = 0.0000 eV/atom; energy of formation from the pure elements = -159 meV per atom
1.0
3.393 0.000 0.000
0.000 3.393 0.000
0.000 0.000 11.599
Y Hf Tc
2 2 2
direct
0.000 0.000 0.000
0.500 0.500 0.500
0.000 0.000 0.274
0.500 0.500 0.774
0.000 0.000 0.661
0.500 0.500 0.161

=====

Record 15
CaCd3Hg PBE optimized geometry; SG = No. 8; energy relative to the lowest polymorph listed for this composition = 0.0000 eV/atom; energy of formation from the pure elements = -232 meV per atom
1.0
8.526 0.000 0.000
0.000 7.100 0.000
-2.983 0.000 4.139
Ca Cd Hg
2 6 2
direct
0.000 0.000 0.000
0.500 0.500 0.000
0.006 0.301 0.506
0.006 0.699 0.506
0.302 0.000 0.800
0.506 0.199 0.506
0.506 0.801 0.506
0.802 0.500 0.800
0.213 0.500 0.214
0.713 0.000 0.214

=====

Record 16
KCuSi4 PBE optimized geometry; SG = No. 216; formation energy from raw total energies = 0.52 eV per atom
1.0
0.000 3.765 3.765
3.765 0.000 3.765
3.765 3.765 0.000
K Cu Si
1 1 4
direct
0.000 0.000 0.000
0.250 0.250 0.250
0.131 0.623 0.623
0.623 0.131 0.623
0.623 0.623 0.131
0.623 0.623 0.623

=====

Record 17
Tl12Cd3F5 PBE optimized geometry; SG = No. 230; formation energy from raw total energies = -0.68 eV per atom
1.0
-8.455 8.455 8.455
8.455 -8.455 8.455
8.455 8.455 -8.455
Tl Cd F
48 12 20
direct
0.026 0.206 0.112
0.026 0.320 0.914
0.086 0.612 0.406
0.086 0.974 0.680
0.094 0.706 0.680
0.094 0.888 0.414
0.112 0.026 0.206
0.112 0.586 0.906
0.180 0.206 0.594
0.180 0.474 0.586
0.206 0.112 0.026
0.206 0.594 0.180
0.294 0.320 0.906
0.294 0.474 0.388
0.320 0.906 0.294
0.320 0.914 0.026
0.388 0.294 0.474
0.388 0.594 0.914
0.406 0.086 0.612
0.406 0.820 0.794
0.414 0.094 0.888
0.414 0.820 0.526
0.474 0.388 0.294
0.474 0.586 0.180
0.526 0.414 0.820
0.526 0.612 0.706
0.586 0.180 0.474
0.586 0.906 0.112
0.594 0.180 0.206
0.594 0.914 0.388
0.612 0.406 0.086
0.612 0.706 0.526
0.680 0.086 0.974
0.680 0.094 0.706
0.706 0.526 0.612
0.706 0.680 0.094
0.794 0.406 0.820
0.794 0.888 0.974
0.820 0.526 0.414
0.820 0.794 0.406
0.888 0.414 0.094
0.888 0.974 0.794
0.906 0.112 0.586
0.906 0.294 0.320
0.914 0.026 0.320
0.914 0.388 0.594
0.974 0.680 0.086
0.974 0.794 0.888
0.125 0.250 0.375
0.125 0.375 0.750
0.250 0.375 0.125
0.250 0.875 0.625
0.375 0.125 0.250
0.375 0.750 0.125
0.625 0.250 0.875
0.625 0.875 0.750
0.750 0.125 0.375
0.750 0.625 0.875
0.875 0.625 0.250
0.875 0.750 0.625
0.000 0.000 0.000
0.000 0.000 0.500
0.000 0.500 0.000
0.000 0.500 0.500
0.125 0.750 0.875
0.125 0.875 0.250
0.250 0.125 0.875
0.250 0.625 0.375
0.375 0.250 0.625
0.375 0.625 0.750
0.500 0.000 0.000
0.500 0.000 0.500
0.500 0.500 0.000
0.500 0.500 0.500
0.625 0.375 0.250
0.625 0.750 0.375
0.750 0.375 0.625
0.750 0.875 0.125
0.875 0.125 0.750
0.875 0.250 0.125

=====

Record 18
Ta2CoTc PBE optimized geometry; SG = No. 160; energy relative to the lowest polymorph listed for this composition = 0.5135 eV/atom; energy of formation from the pure elements = 235 meV per atom
1.0
2.803 0.000 0.000
-1.401 2.427 0.000
0.000 0.000 27.719
Ta Co Tc
6 3 3
direct
0.000 0.000 0.000
0.000 0.000 0.238
0.333 0.667 0.667
0.333 0.667 0.905
0.667 0.333 0.333
0.667 0.333 0.572
0.000 0.000 0.746
0.333 0.667 0.413
0.667 0.333 0.079
0.000 0.000 0.483
0.333 0.667 0.150
0.667 0.333 0.817